Entry 1:
## Sr2Zn2I (PBE)

Data for a relaxed structure of Sr2Zn2I.

Cell and atoms, written as extended XYZ:
```
10
Lattice="9.1557 0.0000 0.0000 0.0000 9.1557 0.0000 0.0000 0.0000 4.2492" Properties=species:S:1:pos:R:3 pbc="T T T"
Sr 2.8266 7.4044 0.0000
I 4.5779 4.5779 0.0000
Zn 8.2904 3.7126 2.1246
Zn 5.4432 8.2904 2.1246
Zn 0.8653 5.4432 2.1246
Zn 3.7126 0.8653 2.1246
Sr 7.4044 6.3292 0.0000
I 0.0000 0.0000 0.0000
Sr 6.3292 1.7513 0.0000
Sr 1.7513 2.8266 0.0000
```

Output
The energy above the most stable polymorph in this dataset comes out at 0.2595 eV/atom. The uncorrected formation energy comes out at -443 meV/atom. The crystal system is tetragonal. The total energy comes out at -0.142 Ry/atom. The value obtained for the density of states at the Fermi level is 9.68 states/eV/cell.

=====

Entry 2:
## NaZr2Ta (PBE)

Data for a relaxed structure of NaZr2Ta.

Cell and atoms, written as extended XYZ:
```
4
Lattice="0.0000 3.4874 3.4874 3.4874 0.0000 3.4874 3.4874 3.4874 0.0000" Properties=species:S:1:pos:R:3 pbc="T T T"
Zr 5.2312 5.2312 5.2312
Zr 1.7437 1.7437 1.7437
Na 0.0000 0.0000 0.0000
Ta 3.4874 3.4874 3.4874
```

Output
The energy above the most stable polymorph in this dataset comes out at 0.1988 eV/atom. The crystal system is cubic. The total energy comes out at -0.515 Ry/atom. The value obtained for the density of states at the Fermi level is 5.66 states/eV/cell. As for the formation energy: 215 kJ/mol of formula units.

=====

Entry 3:
## TbDyThMg (PBE)

Data for a relaxed structure of TbDyThMg.

Cell and atoms, written as extended XYZ:
```
4
Lattice="-4.8593 2.1869 -1.4979 -4.4462 -3.2509 -0.5498 -4.1361 0.3246 3.6643" Properties=species:S:1:pos:R:3 pbc="T T T"
Mg 0.0000 0.0000 0.0000
Dy -10.0812 -0.5546 1.2124
Tb -3.3604 -0.1849 0.4041
Th -6.7208 -0.3697 0.8083
```

Output
The energy above the most stable polymorph in this dataset comes out at 0.2136 eV/atom. The crystal system is cubic. The total energy comes out at -0.323 Ry/atom. The value obtained for the density of states at the Fermi level is 7.46 states/eV/cell. As for the formation energy: 65 kJ/mol of formula units.

=====

Entry 4:
## Dy2PbO5 (PBE)

Data for a relaxed structure of Dy2PbO5.

Cell and atoms, written as extended XYZ:
```
32
Lattice="6.3013 0.0000 0.0000 0.0000 6.6634 0.0000 0.0000 0.0000 9.7163" Properties=species:S:1:pos:R:3 pbc="T T T"
O 1.0421 6.6629 0.9829
O 6.3006 4.9976 4.8581
O 1.1136 1.6659 7.7801
Dy 6.1509 3.3316 6.4987
O 2.1085 6.6629 5.8411
O 1.0421 3.3322 0.9829
O 5.1877 4.9976 1.9362
O 2.0371 1.6659 2.9220
Pb 6.3007 4.9975 9.7160
O 5.2591 3.3312 8.7334
Dy 6.1509 0.0001 6.4987
O 1.1133 4.9976 7.7805
O 4.1928 0.0005 3.8753
Dy 3.0003 3.3318 8.0758
O 3.1514 4.9976 9.7162
O 4.1928 3.3312 3.8753
O 2.1085 3.3322 5.8411
Dy 3.0003 6.6634 8.0758
O 5.1880 1.6659 1.9358
O 4.2642 4.9976 6.7943
Dy 0.1504 6.6634 3.2177
Dy 0.1504 3.3318 3.2177
Pb 3.1512 4.9975 4.8578
O 2.0373 4.9976 2.9224
Dy 3.3010 0.0001 1.6405
Pb 3.1500 1.6659 4.8585
O 3.1499 1.6659 0.0001
O 4.2640 1.6658 6.7939
Pb 0.0006 1.6659 0.0003
O 0.0007 1.6659 4.8583
O 5.2591 0.0005 8.7334
Dy 3.3010 3.3316 1.6405
```

Output
The uncorrected formation energy comes out at -2530 meV/atom. The crystal system is orthorhombic. The total energy comes out at -0.532 Ry/atom.

=====

Entry 5:
## NpReTc (PBE)

Data for a relaxed structure of NpReTc.

Cell and atoms, written as extended XYZ:
```
3
Lattice="3.6632 0.0000 0.0000 0.0000 3.6632 0.0000 -1.8316 -1.8316 3.9497" Properties=species:S:1:pos:R:3 pbc="T T T"
Np 0.0000 0.0000 2.2157
Re 1.8316 1.8316 0.7655
Tc 1.8316 1.8316 3.7332
```

Output
The energy above the most stable polymorph in this dataset comes out at 0.1288 eV/atom. The crystal system is tetragonal. The total energy comes out at -0.845 Ry/atom. The value obtained for the density of states at the Fermi level is 5.63 states/eV/cell. As for the formation energy: 122 kJ/mol of formula units.

=====

Entry 6:
## BeZnFeTe2 (PBE)

Data for a relaxed structure of BeZnFeTe2.

Cell and atoms, written as extended XYZ:
```
5
Lattice="-3.6167 2.9179 2.4446 -2.8294 -1.3788 -2.5403 -0.9992 -3.9815 3.2741" Properties=species:S:1:pos:R:3 pbc="T T T"
Fe -3.7226 -1.2212 1.5892
Te -1.8083 1.4589 1.2223
Zn 0.0000 0.0000 0.0000
Be -1.4147 -0.6894 -1.2701
Te -0.4996 -1.9907 1.6370
```

Output
The uncorrected formation energy comes out at 1211 meV/atom. The crystal system is tetragonal. The total energy comes out at -0.201 Ry/atom. The value obtained for the density of states at the Fermi level is 7.87 states/eV/cell.

=====

Entry 7:
## La2DyAg2 (PBE)

Data for a relaxed structure of La2DyAg2.

Cell and atoms, written as extended XYZ:
```
10
Lattice="5.1065 0.0000 0.0000 0.0000 6.6557 -0.4601 0.0000 -3.1896 8.5997" Properties=species:S:1:pos:R:3 pbc="T T T"
La 3.8299 2.6957 4.3899
Ag 1.2766 4.5986 4.8155
Ag 3.8299 4.2789 0.1864
Dy 3.8299 -0.4664 6.2150
La 1.2766 2.3903 7.1455
Ag 3.8299 -1.1325 3.3241
Dy 1.2766 3.9325 1.9245
Ag 1.2766 -0.8128 7.9532
La 1.2766 0.7704 3.7497
La 3.8299 1.0758 0.9941
```

Output
The energy above the most stable polymorph in this dataset comes out at 0.0000 eV/atom. The crystal system is monoclinic. The total energy comes out at -0.310 Ry/atom. The value obtained for the density of states at the Fermi level is 10.48 states/eV/cell. As for the formation energy: -92 kJ/mol of formula units.

=====

Entry 8:
## DyNi6P2 (PBE)

Data for a relaxed structure of DyNi6P2.

Cell and atoms, written as extended XYZ:
```
9
Lattice="3.8220 0.0000 0.0000 0.0000 3.8220 0.0000 0.0000 0.0000 7.8099" Properties=species:S:1:pos:R:3 pbc="T T T"
Ni 1.9110 0.0000 5.5188
Ni 0.0000 0.0000 3.9050
Ni 0.0000 1.9110 5.5188
Dy 0.0000 0.0000 0.0000
Ni 1.9110 1.9110 3.9050
P 1.9110 1.9110 6.6286
Ni 1.9110 0.0000 2.2911
Ni 0.0000 1.9110 2.2911
P 1.9110 1.9110 1.1813
```

Output
The crystal system is tetragonal. The total energy comes out at -0.449 Ry/atom. The value obtained for the density of states at the Fermi level is 12.87 states/eV/cell. As for the formation energy: -469 kJ/mol of formula units.

=====

Repeat the fifth record exactly.
## NpReTc (PBE)

Data for a relaxed structure of NpReTc.

Cell and atoms, written as extended XYZ:
```
3
Lattice="3.6632 0.0000 0.0000 0.0000 3.6632 0.0000 -1.8316 -1.8316 3.9497" Properties=species:S:1:pos:R:3 pbc="T T T"
Np 0.0000 0.0000 2.2157
Re 1.8316 1.8316 0.7655
Tc 1.8316 1.8316 3.7332
```

Output
The energy above the most stable polymorph in this dataset comes out at 0.1288 eV/atom. The crystal system is tetragonal. The total energy comes out at -0.845 Ry/atom. The value obtained for the density of states at the Fermi level is 5.63 states/eV/cell. As for the formation energy: 122 kJ/mol of formula units.